6
Lattice="1.6061 -8.7749 0.0000 1.6061 8.7749 0.0000 0.0000 0.0000 3.3311" Properties=species:S:1:pos:R:3 comment="PrBeH, optimized geometry, DFT PBE" dft_energy_ev_per_atom=-3.828 total_magnetization_mub_per_cell=0.000 pbc="T T T"
Pr 1.6061 7.0225 2.4983
Pr 1.6061 -7.0225 0.8328
Be 1.6061 4.4301 0.8328
Be 1.6061 -4.4301 2.4983
H 1.6061 1.0150 2.4983
H 1.6061 -1.0150 0.8328